# La2ZrPdPt PBE optimized geometry
data_La2ZrPdPt
_chemical_formula_sum 'La2 Zr1 Pd1 Pt1'
_symmetry_space_group_name_H-M 'P 4/m m m'
_symmetry_Int_Tables_number 123
_symmetry_space_group_name_Hall '-P 4 2'
_cell_length_a 5.6512
_cell_length_b 5.6512
_cell_length_c 5.0786
_cell_angle_alpha 90.00
_cell_angle_beta 90.00
_cell_angle_gamma 90.00
loop_
_atom_site_label
_atom_site_fract_x
_atom_site_fract_y
_atom_site_fract_z
La1 0.0000 0.5000 0.0000
Zr1 0.0000 0.0000 0.5000
Pd1 0.5000 0.5000 0.5000
Pt1 0.0000 0.0000 0.0000
# Energy relative to the elements   -0.08 eV/atom
# DFT total energy   -6.0029 eV per atom
# Density of states at the Fermi level   7.5 states/eV/cell
# Total magnetic moment   0.9 μB per formula unit


# LaPuPd3 PBE optimized geometry
data_LaPuPd3
_chemical_formula_sum 'La4 Pu4 Pd12'
_symmetry_space_group_name_H-M 'C m c m'
_symmetry_Int_Tables_number 63
_symmetry_space_group_name_Hall '-C 2c 2'
_cell_length_a 3.8148
_cell_length_b 27.5875
_cell_length_c 4.3472
_cell_angle_alpha 90.00
_cell_angle_beta 90.00
_cell_angle_gamma 90.00
loop_
_atom_site_label
_atom_site_fract_x
_atom_site_fract_y
_atom_site_fract_z
La1 0.0000 0.0737 0.2500
Pu1 0.0000 0.2073 0.7500
Pd1 0.0000 0.3150 0.7500
Pd2 0.0000 0.3756 0.2500
Pd3 0.0000 0.4719 0.2500
# Energy relative to the elements   -0.62 eV/atom
# DFT total energy   -7.5902 eV per atom
# Density of states at the Fermi level   52.2 states/eV/cell
# Total magnetic moment   5.5 μB per formula unit


# LaPuPd PBE optimized geometry
data_LaPuPd
_chemical_formula_sum 'La2 Pu2 Pd2'
_symmetry_space_group_name_H-M 'I 4 m m'
_symmetry_Int_Tables_number 107
_symmetry_space_group_name_Hall 'I 4 -2'
_cell_length_a 3.6873
_cell_length_b 3.6873
_cell_length_c 11.7133
_cell_angle_alpha 90.00
_cell_angle_beta 90.00
_cell_angle_gamma 90.00
loop_
_atom_site_label
_atom_site_fract_x
_atom_site_fract_y
_atom_site_fract_z
La1 0.0000 0.0000 0.0000
Pu1 0.0000 0.0000 0.2850
Pd1 0.0000 0.0000 0.6496
# Energy relative to the elements   -0.30 eV/atom
# DFT total energy   -8.4485 eV per atom
# Density of states at the Fermi level   19.9 states/eV/cell
# Total magnetic moment   6.4 μB per formula unit


# LaPuPd10 PBE optimized geometry
data_LaPuPd10
_chemical_formula_sum 'La1 Pu1 Pd10'
_symmetry_space_group_name_H-M 'P m m m'
_symmetry_Int_Tables_number 47
_cell_length_a 4.5059
_cell_length_b 5.3484
_cell_length_c 9.2795
_cell_angle_alpha 90.00
_cell_angle_beta 90.00
_cell_angle_gamma 90.00
loop_
_symmetry_equiv_pos_as_xyz
'x,y,z'
'-x,-y,-z'
'-x,-y,z'
'x,y,-z'
'x,-y,-z'
'-x,y,z'
'-x,y,-z'
'x,-y,z'
loop_
_atom_site_label
_atom_site_fract_x
_atom_site_fract_y
_atom_site_fract_z
La1 0.0000 0.0000 0.0000
Pu1 0.0000 0.5000 0.5000
Pd1 0.0000 0.0000 0.3367
Pd2 0.0000 0.5000 0.1703
Pd3 0.5000 0.0000 0.5000
Pd4 0.5000 0.2508 0.2517
Pd5 0.5000 0.5000 0.0000
# Energy relative to the elements   -0.44 eV/atom
# DFT total energy   -6.3719 eV per atom
# Density of states at the Fermi level   25.2 states/eV/cell
# Total magnetic moment   4.7 μB per formula unit


# LaPu2Pd9 PBE optimized geometry
data_LaPu2Pd9
_chemical_formula_sum 'La1 Pu2 Pd9'
_symmetry_space_group_name_H-M 'P 4/m m m'
_symmetry_Int_Tables_number 123
_symmetry_space_group_name_Hall '-P 4 2'
_cell_length_a 4.1733
_cell_length_b 4.1733
_cell_length_c 12.5236
_cell_angle_alpha 90.00
_cell_angle_beta 90.00
_cell_angle_gamma 90.00
loop_
_atom_site_label
_atom_site_fract_x
_atom_site_fract_y
_atom_site_fract_z
La1 0.0000 0.0000 0.0000
Pu1 0.0000 0.0000 0.3360
Pd1 0.0000 0.5000 0.1730
Pd2 0.0000 0.5000 0.5000
Pd3 0.5000 0.5000 0.0000
Pd4 0.5000 0.5000 0.3354
# Energy relative to the elements   -0.64 eV/atom
# DFT total energy   -7.3330 eV per atom
# Density of states at the Fermi level   34.0 states/eV/cell
# Total magnetic moment   8.9 μB per formula unit


# La2PuPd3 PBE optimized geometry
data_La2PuPd3
_chemical_formula_sum 'La8 Pu4 Pd12'
_symmetry_space_group_name_H-M 'C 1 2/c 1'
_symmetry_Int_Tables_number 15
_cell_length_a 13.2797
_cell_length_b 5.9543
_cell_length_c 8.5170
_cell_angle_alpha 90.00
_cell_angle_beta 108.67
_cell_angle_gamma 90.00
loop_
_symmetry_equiv_pos_as_xyz
'x,y,z'
'-x,-y,-z'
'-x,y,-z+1/2'
'x,-y,z+1/2'
'x+1/2,y+1/2,z'
'-x+1/2,-y+1/2,-z'
'-x+1/2,y+1/2,-z+1/2'
'x+1/2,-y+1/2,z+1/2'
loop_
_atom_site_label
_atom_site_fract_x
_atom_site_fract_y
_atom_site_fract_z
La1 0.1670 0.0002 0.0835
Pu1 0.0000 0.4992 0.2500
Pd1 0.0000 0.0009 0.7500
Pd2 0.1606 0.5002 0.0803
# Energy relative to the elements   -0.59 eV/atom
# DFT total energy   -7.2150 eV per atom
# Density of states at the Fermi level   67.2 states/eV/cell
# Total magnetic moment   5.5 μB per formula unit


# La2Pu2Pd15 PBE optimized geometry
data_La2Pu2Pd15
_chemical_formula_sum 'La6 Pu6 Pd45'
_symmetry_space_group_name_H-M 'R -3 m'
_symmetry_Int_Tables_number 166
_symmetry_space_group_name_Hall '-R 3 2"'
_cell_length_a 9.3080
_cell_length_b 9.3080
_cell_length_c 14.1366
_cell_angle_alpha 90.00
_cell_angle_beta 90.00
_cell_angle_gamma 120.00
loop_
_atom_site_label
_atom_site_fract_x
_atom_site_fract_y
_atom_site_fract_z
La1 0.0000 0.0000 0.1441
Pu1 0.0000 0.0000 0.4009
Pd1 0.0000 0.3118 0.5000
Pd2 0.0000 0.5000 0.0000
Pd3 0.0047 0.5024 0.6558
# Energy relative to the elements   -0.50 eV/atom
# DFT total energy   -6.6256 eV per atom
# Density of states at the Fermi level   107.7 states/eV/cell
# Total magnetic moment   10.2 μB per formula unit


# LaPu3Pd4 PBE optimized geometry
data_LaPu3Pd4
_chemical_formula_sum 'La1 Pu3 Pd4'
_symmetry_space_group_name_H-M 'P m m m'
_symmetry_Int_Tables_number 47
_cell_length_a 3.4063
_cell_length_b 5.1206
_cell_length_c 10.3139
_cell_angle_alpha 90.00
_cell_angle_beta 90.00
_cell_angle_gamma 90.00
loop_
_symmetry_equiv_pos_as_xyz
'x,y,z'
'-x,-y,-z'
'-x,-y,z'
'x,y,-z'
'x,-y,-z'
'-x,y,z'
'-x,y,-z'
'x,-y,z'
loop_
_atom_site_label
_atom_site_fract_x
_atom_site_fract_y
_atom_site_fract_z
La1 0.0000 0.0000 0.0000
Pu1 0.0000 0.0000 0.5000
Pu2 0.0000 0.5000 0.2543
Pd1 0.5000 0.0000 0.2551
Pd2 0.5000 0.5000 0.0000
Pd3 0.5000 0.5000 0.5000
# Energy relative to the elements   -0.47 eV/atom
# DFT total energy   -9.0593 eV per atom
# Density of states at the Fermi level   35.9 states/eV/cell
# Total magnetic moment   5.7 μB per formula unit


# LaPu3Pd8 PBE optimized geometry
data_LaPu3Pd8
_chemical_formula_sum 'La1 Pu3 Pd8'
_symmetry_space_group_name_H-M 'P 3 m 1'
_symmetry_Int_Tables_number 156
_cell_length_a 5.4797
_cell_length_b 5.4797
_cell_length_c 8.9936
_cell_angle_alpha 90.00
_cell_angle_beta 90.00
_cell_angle_gamma 120.00
loop_
_symmetry_equiv_pos_as_xyz
'x,y,z'
'-y,x-y,z'
'-x+y,-x,z'
'-y,-x,z'
'-x+y,y,z'
'x,x-y,z'
loop_
_atom_site_label
_atom_site_fract_x
_atom_site_fract_y
_atom_site_fract_z
La1 0.0000 0.0000 0.0000
Pu1 0.0000 0.0000 0.3799
Pu2 0.6667 0.3333 0.4810
Pu3 0.6667 0.3333 0.8516
Pd1 0.1652 0.3303 0.6776
Pd2 0.3333 0.6667 0.4278
Pd3 0.3333 0.6667 0.9274
Pd4 0.5021 0.0042 0.1797
# Energy relative to the elements   -0.58 eV/atom
# DFT total energy   -8.0330 eV per atom
# Density of states at the Fermi level   36.8 states/eV/cell
# Total magnetic moment   5.6 μB per formula unit


# LaPuPd4 PBE optimized geometry
data_LaPuPd4
_chemical_formula_sum 'La4 Pu4 Pd16'
_symmetry_space_group_name_H-M 'F -4 3 m'
_symmetry_Int_Tables_number 216
_symmetry_space_group_name_Hall 'F -4 2 3'
_cell_length_a 7.8024
_cell_length_b 7.8024
_cell_length_c 7.8024
_cell_angle_alpha 90.00
_cell_angle_beta 90.00
_cell_angle_gamma 90.00
loop_
_atom_site_label
_atom_site_fract_x
_atom_site_fract_y
_atom_site_fract_z
La1 0.0000 0.0000 0.0000
Pu1 0.2500 0.2500 0.2500
Pd1 0.1245 0.1245 0.6245
# Energy relative to the elements   -0.67 eV/atom
# DFT total energy   -7.3379 eV per atom
# Density of states at the Fermi level   74.4 states/eV/cell
# Total magnetic moment   5.5 μB per formula unit


# La3PuPd8 PBE optimized geometry
data_La3PuPd8
_chemical_formula_sum 'La3 Pu1 Pd8'
_symmetry_space_group_name_H-M 'P 3 m 1'
_symmetry_Int_Tables_number 156
_cell_length_a 5.5403
_cell_length_b 5.5403
_cell_length_c 9.0966
_cell_angle_alpha 90.00
_cell_angle_beta 90.00
_cell_angle_gamma 120.00
loop_
_symmetry_equiv_pos_as_xyz
'x,y,z'
'-y,x-y,z'
'-x+y,-x,z'
'-y,-x,z'
'-x+y,y,z'
'x,x-y,z'
loop_
_atom_site_label
_atom_site_fract_x
_atom_site_fract_y
_atom_site_fract_z
La1 0.0000 0.0000 0.0000
La2 0.0000 0.0000 0.3761
La3 0.3333 0.6667 0.8505
Pu1 0.3333 0.6667 0.4871
Pd1 0.0035 0.5018 0.1804
Pd2 0.3319 0.1659 0.6789
Pd3 0.6667 0.3333 0.4301
Pd4 0.6667 0.3333 0.9307
# Energy relative to the elements   -0.71 eV/atom
# DFT total energy   -6.5947 eV per atom
# Density of states at the Fermi level   19.6 states/eV/cell
# Total magnetic moment   5.9 μB per formula unit


# LaPu5Pd6 PBE optimized geometry
data_LaPu5Pd6
_chemical_formula_sum 'La2 Pu10 Pd12'
_symmetry_space_group_name_H-M 'C 1 2/m 1'
_symmetry_Int_Tables_number 12
_cell_length_a 15.8628
_cell_length_b 7.1036
_cell_length_c 5.0086
_cell_angle_alpha 90.00
_cell_angle_beta 108.21
_cell_angle_gamma 90.00
loop_
_symmetry_equiv_pos_as_xyz
'x,y,z'
'-x,-y,-z'
'-x,y,-z'
'x,-y,z'
'x+1/2,y+1/2,z'
'-x+1/2,-y+1/2,-z'
'-x+1/2,y+1/2,-z'
'x+1/2,-y+1/2,z'
loop_
_atom_site_label
_atom_site_fract_x
_atom_site_fract_y
_atom_site_fract_z
La1 0.0000 0.0000 0.0000
Pu1 0.0000 0.5000 0.0000
Pu2 0.1651 0.5000 0.6650
Pu3 0.1712 0.0000 0.6712
Pd1 0.0000 0.2513 0.5000
Pd2 0.1676 0.2502 0.1675
# Energy relative to the elements   -0.45 eV/atom
# DFT total energy   -9.4292 eV per atom
# Density of states at the Fermi level   106.2 states/eV/cell
# Total magnetic moment   28.6 μB per formula unit


- Among the records above, which one has the lowest total magnetic moment?
  La2ZrPdPt